VASP calculation (GGA-PBE) on a relaxed structure of BaNbBi3.

DFT formation energy (eV per atom): -0.11

a = 5.619 Å, b = 5.619 Å, c = 5.619 Å
α = 90.00°, β = 90.00°, γ = 90.00°
Fractional positions:
Nb  0.000  0.000  0.000
Bi  0.000  0.500  0.000
Bi  0.000  0.000  0.500
Bi  0.500  0.000  0.000
Ba  0.500  0.500  0.500

=====

VASP calculation (GGA-PBE) on a relaxed structure of BaNb2Bi.

DFT formation energy (eV per atom): 1.10

a = 8.626 Å, b = 8.626 Å, c = 6.857 Å
α = 51.03°, β = 51.03°, γ = 90.00°
Fractional positions:
Nb  0.678  0.125  0.250
Nb  0.072  0.625  0.250
Nb  0.375  0.322  0.750
Nb  0.875  0.928  0.750
Bi  0.000  0.000  0.000
Bi  0.750  0.250  0.500
Ba  0.500  0.500  0.000
Ba  0.250  0.750  0.500

=====

VASP calculation (GGA-PBE) on a relaxed structure of BaNb3Bi.

DFT formation energy (eV per atom): 2.28

a = 5.140 Å, b = 5.140 Å, c = 5.140 Å
α = 90.00°, β = 90.00°, γ = 90.00°
Fractional positions:
Nb  0.000  0.500  0.000
Nb  0.000  0.000  0.500
Nb  0.500  0.000  0.000
Bi  0.500  0.500  0.500
Ba  0.000  0.000  0.000

=====

VASP calculation (GGA-PBE) on a relaxed structure of BaNbBi3.

DFT formation energy (eV per atom): 1.82

a = 6.080 Å, b = 6.080 Å, c = 6.080 Å
α = 90.00°, β = 90.00°, γ = 90.00°
Fractional positions:
Nb  0.500  0.500  0.500
Bi  0.000  0.500  0.000
Bi  0.000  0.000  0.500
Bi  0.500  0.000  0.000
Ba  0.000  0.000  0.000

=====

VASP calculation (GGA-PBE) on a relaxed structure of BaNb2BiO.

Formation energy without anion corrections (eV/atom): 1.5067

a = 5.586 Å, b = 4.372 Å, c = 5.586 Å
α = 90.00°, β = 90.00°, γ = 90.00°
Fractional positions:
Nb  0.000  0.000  0.500
Nb  0.500  0.000  0.000
Bi  0.500  0.500  0.500
O  0.000  0.500  0.000
Ba  0.000  0.000  0.000

=====

VASP calculation (GGA-PBE) on a relaxed structure of BaNbBiO6.

Formation energy without anion corrections (eV/atom): -2.0281

a = 5.610 Å, b = 5.610 Å, c = 11.482 Å
α = 90.00°, β = 90.00°, γ = 120.00°
Fractional positions:
Ba  0.000  0.000  0.000
Ba  0.000  0.000  0.500
Nb  0.333  0.667  0.250
Nb  0.667  0.333  0.750
Bi  0.667  0.333  0.250
Bi  0.333  0.667  0.750
O  0.602  0.617  0.148
O  0.015  0.398  0.148
O  0.398  0.015  0.648
O  0.985  0.602  0.852
O  0.383  0.398  0.352
O  0.015  0.617  0.352
O  0.617  0.015  0.852
O  0.602  0.985  0.352
O  0.985  0.383  0.648
O  0.383  0.985  0.148
O  0.617  0.602  0.648
O  0.398  0.383  0.852

=====

VASP calculation (GGA-PBE) on a relaxed structure of Ba2NbBiO6.

Formation energy without anion corrections (eV/atom): -2.3004

a = 6.196 Å, b = 6.196 Å, c = 11.104 Å
α = 73.80°, β = 73.80°, γ = 60.00°
Fractional positions:
Ba  0.864  0.864  0.409
Ba  0.136  0.136  0.591
Ba  0.728  0.728  0.816
Ba  0.272  0.272  0.184
Nb  0.000  0.000  0.000
Nb  0.500  0.500  0.500
Bi  0.597  0.597  0.208
Bi  0.403  0.403  0.792
O  0.849  0.381  0.388
O  0.381  0.849  0.388
O  0.381  0.381  0.388
O  0.151  0.619  0.612
O  0.619  0.151  0.612
O  0.619  0.619  0.612
O  0.738  0.188  0.886
O  0.188  0.738  0.886
O  0.188  0.188  0.886
O  0.262  0.812  0.114
O  0.812  0.262  0.114
O  0.812  0.812  0.114

=====

VASP calculation (GGA-PBE) on a relaxed structure of Ba2NbBiP.

DFT formation energy (eV per atom): 0.56

a = 6.578 Å, b = 5.386 Å, c = 6.578 Å
α = 90.00°, β = 90.00°, γ = 90.00°
Fractional positions:
P  0.500  0.500  0.500
Nb  0.000  0.500  0.000
Bi  0.000  0.000  0.000
Ba  0.000  0.000  0.500
Ba  0.500  0.000  0.000

=====

VASP calculation (GGA-PBE) on a relaxed structure of BaNbRe2Bi.

DFT formation energy (eV per atom): 1.60

a = 4.865 Å, b = 5.811 Å, c = 4.865 Å
α = 90.00°, β = 90.00°, γ = 90.00°
Fractional positions:
Re  0.000  0.000  0.500
Re  0.500  0.000  0.000
Nb  0.000  0.000  0.000
Bi  0.500  0.500  0.500
Ba  0.000  0.500  0.000

=====

VASP calculation (GGA-PBE) on a relaxed structure of BaNbBi2Sb.

Formation energy without anion corrections (eV/atom): 1.8459

a = 6.053 Å, b = 5.946 Å, c = 6.053 Å
α = 90.00°, β = 90.00°, γ = 90.00°
Fractional positions:
Sb  0.000  0.500  0.000
Nb  0.500  0.500  0.500
Bi  0.000  0.000  0.500
Bi  0.500  0.000  0.000
Ba  0.000  0.000  0.000

=====

VASP calculation (GGA-PBE) on a relaxed structure of BaNbBi2Sb.

Formation energy without anion corrections (eV/atom): 1.6921

a = 6.181 Å, b = 5.492 Å, c = 6.181 Å
α = 90.00°, β = 90.00°, γ = 90.00°
Fractional positions:
Sb  0.500  0.500  0.500
Nb  0.000  0.500  0.000
Bi  0.000  0.000  0.500
Bi  0.500  0.000  0.000
Ba  0.000  0.000  0.000

=====

VASP calculation (GGA-PBE) on a relaxed structure of Ba2NbBiSe.

Formation energy without anion corrections (eV/atom): 0.6478

a = 6.688 Å, b = 5.543 Å, c = 6.688 Å
α = 90.00°, β = 90.00°, γ = 90.00°
Fractional positions:
Nb  0.500  0.500  0.500
Bi  0.000  0.000  0.000
Se  0.000  0.500  0.000
Ba  0.000  0.000  0.500
Ba  0.500  0.000  0.000

=====

VASP calculation (GGA-PBE) on a relaxed structure of Ba5NdBi5.

DFT formation energy (eV per atom): -0.76

a = 7.000 Å, b = 8.922 Å, c = 9.691 Å
α = 106.51°, β = 90.00°, γ = 113.10°
Fractional positions:
Ba  0.685  0.369  0.321
Ba  0.673  0.346  0.846
Ba  0.000  0.000  0.500
Ba  0.327  0.654  0.154
Ba  0.315  0.631  0.679
Nd  0.000  0.000  0.000
Bi  0.852  0.703  0.159
Bi  0.844  0.688  0.681
Bi  0.500  0.000  0.000
Bi  0.156  0.312  0.319
Bi  0.148  0.297  0.841